# PBE SiNi2Rh3, optimized geometry
data_SiNi2Rh3
_chemical_formula_sum 'Si4 Ni8 Rh12'
_symmetry_space_group_name_H-M 'C m m m'
_symmetry_Int_Tables_number 65
_symmetry_space_group_name_Hall '-C 2 2'
_cell_length_a 3.999
_cell_length_b 12.129
_cell_length_c 6.365
_cell_angle_alpha 90.00
_cell_angle_beta 90.00
_cell_angle_gamma 90.00
loop_
_atom_site_label
_atom_site_type_symbol
_atom_site_fract_x
_atom_site_fract_y
_atom_site_fract_z
Si1 Si 0.000 0.153 0.000
Ni1 Ni 0.000 0.174 0.500
Ni2 Ni 0.000 0.500 0.000
Ni3 Ni 0.000 0.500 0.500
Rh1 Rh 0.000 0.000 0.251
Rh2 Rh 0.000 0.330 0.227
# E_tot, eV per atom: -6.78
# ΔE_f (raw), eV per atom: -0.27
# Mass density, g/cm³: 9.77